CsBaSe2N | PBE | optimized geometry

Cell and atoms, written as CIF:
```
data_CsBaSe2N
_chemical_formula_sum 'Cs1 Ba1 Se2 N1'
_symmetry_space_group_name_H-M 'P 4/m m m'
_symmetry_Int_Tables_number 123
_symmetry_space_group_name_Hall '-P 4 2'
_cell_length_a 6.335
_cell_length_b 6.335
_cell_length_c 5.450
_cell_angle_alpha 90.00
_cell_angle_beta 90.00
_cell_angle_gamma 90.00
loop_
_atom_site_label
_atom_site_type_symbol
_atom_site_fract_x
_atom_site_fract_y
_atom_site_fract_z
Cs1 Cs 0.000 0.000 0.000
Ba1 Ba 0.500 0.500 0.500
Se1 Se 0.000 0.500 0.500
N1 N 0.500 0.500 0.000
```

Properties
Excess energy over the best structure of this formula in the dataset ... 0 meV/atom
Total moment ... 4.0 μB per cell
Total DFT energy (no corrections) ... -3.557 eV per atom
Energy relative to the elements, uncorrected ... 0.06 eV per atom

---

Re2NiCl2 | PBE | optimized geometry

Cell and atoms, written as CIF:
```
data_Re2NiCl2
_chemical_formula_sum 'Re4 Ni2 Cl4'
_symmetry_space_group_name_H-M 'I 4/m m m'
_symmetry_Int_Tables_number 139
_symmetry_space_group_name_Hall '-I 4 2'
_cell_length_a 3.797
_cell_length_b 3.797
_cell_length_c 11.667
_cell_angle_alpha 90.00
_cell_angle_beta 90.00
_cell_angle_gamma 90.00
loop_
_atom_site_label
_atom_site_type_symbol
_atom_site_fract_x
_atom_site_fract_y
_atom_site_fract_z
Re1 Re 0.000 0.000 0.097
Ni1 Ni 0.000 0.000 0.500
Cl1 Cl 0.000 0.500 0.250
```

Properties
Excess energy over the best structure of this formula in the dataset ... 422 meV/atom
Total moment ... 0.0 μB per cell
Total DFT energy (no corrections) ... -5.819 eV per atom
Energy relative to the elements, uncorrected ... 1.06 eV per atom

---

V2ZnTePt | PBE | optimized geometry

Cell and atoms, written as CIF:
```
data_V2ZnTePt
_chemical_formula_sum 'V2 Zn1 Te1 Pt1'
_symmetry_space_group_name_H-M 'P 4/m m m'
_symmetry_Int_Tables_number 123
_symmetry_space_group_name_Hall '-P 4 2'
_cell_length_a 4.867
_cell_length_b 4.867
_cell_length_c 4.745
_cell_angle_alpha 90.00
_cell_angle_beta 90.00
_cell_angle_gamma 90.00
loop_
_atom_site_label
_atom_site_type_symbol
_atom_site_fract_x
_atom_site_fract_y
_atom_site_fract_z
V1 V 0.000 0.500 0.000
Zn1 Zn 0.000 0.000 0.500
Te1 Te 0.500 0.500 0.500
Pt1 Pt 0.000 0.000 0.000
```

Properties
Total moment ... 4.8 μB per cell
Total DFT energy (no corrections) ... -5.275 eV per atom
Energy relative to the elements, uncorrected ... 0.46 eV per atom

---

VZn | PBE | optimized geometry

Cell and atoms, written as CIF:
```
data_VZn
_chemical_formula_sum 'V8 Zn8'
_symmetry_space_group_name_H-M 'P 21 21 21'
_symmetry_Int_Tables_number 19
_cell_length_a 4.493
_cell_length_b 5.605
_cell_length_c 8.842
_cell_angle_alpha 90.00
_cell_angle_beta 90.00
_cell_angle_gamma 90.00
loop_
_symmetry_equiv_pos_as_xyz
'x,y,z'
'-x+1/2,-y,z+1/2'
'x+1/2,-y+1/2,-z'
'-x,y+1/2,-z+1/2'
loop_
_atom_site_label
_atom_site_type_symbol
_atom_site_fract_x
_atom_site_fract_y
_atom_site_fract_z
V1 V 0.165 0.017 0.116
V2 V 0.165 0.238 0.882
Zn1 Zn 0.169 0.517 0.119
Zn2 Zn 0.174 0.741 0.862
```

Properties
Total moment ... 0.0 μB per cell
Total DFT energy (no corrections) ... -5.078 eV per atom
Calculated formation energy ... 119 meV/atom

---

CaPOs2 | PBE | optimized geometry

Cell and atoms, written as CIF:
```
data_CaPOs2
_chemical_formula_sum 'Ca2 P2 Os4'
_symmetry_space_group_name_H-M 'C m m m'
_symmetry_Int_Tables_number 65
_symmetry_space_group_name_Hall '-C 2 2'
_cell_length_a 5.403
_cell_length_b 7.797
_cell_length_c 3.048
_cell_angle_alpha 90.00
_cell_angle_beta 90.00
_cell_angle_gamma 90.00
loop_
_atom_site_label
_atom_site_type_symbol
_atom_site_fract_x
_atom_site_fract_y
_atom_site_fract_z
Ca1 Ca 0.000 0.000 0.000
P1 P 0.000 0.500 0.000
Os1 Os 0.250 0.250 0.500
```

Properties
Total moment ... 0.0 μB per cell
Total DFT energy (no corrections) ... -6.713 eV per atom
Calculated formation energy ... 755 meV/atom

---

SrHoAlHg | PBE | optimized geometry

Cell and atoms, written as CIF:
```
data_SrHoAlHg
_chemical_formula_sum 'Sr4 Ho4 Al4 Hg4'
_symmetry_space_group_name_H-M 'F -4 3 m'
_symmetry_Int_Tables_number 216
_symmetry_space_group_name_Hall 'F -4 2 3'
_cell_length_a 7.630
_cell_length_b 7.630
_cell_length_c 7.630
_cell_angle_alpha 90.00
_cell_angle_beta 90.00
_cell_angle_gamma 90.00
loop_
_atom_site_label
_atom_site_type_symbol
_atom_site_fract_x
_atom_site_fract_y
_atom_site_fract_z
Sr1 Sr 0.000 0.000 0.000
Ho1 Ho 0.000 0.000 0.500
Al1 Al 0.250 0.250 0.250
Hg1 Hg 0.250 0.250 0.750
```

Properties
Total moment ... 0.0 μB per cell
Total DFT energy (no corrections) ... -2.868 eV per atom
Calculated formation energy ... -292 meV/atom

---

K3LiHf2S6 | PBE | optimized geometry

Cell and atoms, written as CIF:
```
data_K3LiHf2S6
_chemical_formula_sum 'K6 Li2 Hf4 S12'
_symmetry_space_group_name_H-M 'C 1 2/m 1'
_symmetry_Int_Tables_number 12
_cell_length_a 6.660
_cell_length_b 11.550
_cell_length_c 7.613
_cell_angle_alpha 90.00
_cell_angle_beta 106.91
_cell_angle_gamma 90.00
loop_
_symmetry_equiv_pos_as_xyz
'x,y,z'
'-x,-y,-z'
'-x,y,-z'
'x,-y,z'
'x+1/2,y+1/2,z'
'-x+1/2,-y+1/2,-z'
'-x+1/2,y+1/2,-z'
'x+1/2,-y+1/2,z'
loop_
_atom_site_label
_atom_site_type_symbol
_atom_site_fract_x
_atom_site_fract_y
_atom_site_fract_z
K1 K 0.000 0.000 0.000
K2 K 0.000 0.340 0.000
Li1 Li 0.000 0.500 0.500
Hf1 Hf 0.000 0.167 0.500
S1 S 0.211 0.000 0.691
S2 S 0.242 0.323 0.694
```

Properties
Total moment ... 0.0 μB per cell
Total DFT energy (no corrections) ... -5.661 eV per atom
Energy relative to the elements, uncorrected ... -1.50 eV per atom

---

RbTe2Pt | PBE | optimized geometry

Cell and atoms, written as CIF:
```
data_RbTe2Pt
_chemical_formula_sum 'Rb4 Te8 Pt4'
_symmetry_space_group_name_H-M 'C m c m'
_symmetry_Int_Tables_number 63
_symmetry_space_group_name_Hall '-C 2c 2'
_cell_length_a 4.020
_cell_length_b 13.809
_cell_length_c 9.978
_cell_angle_alpha 90.00
_cell_angle_beta 90.00
_cell_angle_gamma 90.00
loop_
_atom_site_label
_atom_site_type_symbol
_atom_site_fract_x
_atom_site_fract_y
_atom_site_fract_z
Rb1 Rb 0.000 0.142 0.250
Te1 Te 0.000 0.391 0.079
Pt1 Pt 0.000 0.109 0.750
```

Properties
Total moment ... 0.0 μB per cell
Total DFT energy (no corrections) ... -3.894 eV per atom
Energy relative to the elements, uncorrected ... -0.57 eV per atom

---

- What is the formula in the fourth record?
  VZn

---

- Among the records above, which one has the highest total DFT energy (no corrections)?
  SrHoAlHg

---

- Look up the total DFT energy (no corrections) of the third one.
  -5.275 eV per atom